(1)
An optimized crystal structure of ErZnRh. Source: Alexandria, functional PBE.

The structure in POSCAR format:
```
ErZnRh
1.0
4.369 0.000 0.000
-2.185 3.784 0.000
0.000 0.000 3.468
Er Zn Rh
1 1 1
Cartesian
0.000 0.000 0.000
0.000 2.522 1.734
2.185 1.261 1.734
```

## Properties
* electronic total energy: -15.06 eV for the cell shown
* V: 19.11 A^3/atom
* DFT formation energy: -0.63 eV/atom
* crystal system: hexagonal
* Fermi-level density of states: 2.0 states/eV per cell

(2)
An optimized crystal structure of ErZn4Rh2. Source: Alexandria, functional PBE.

The structure in POSCAR format:
```
ErZn4Rh2
1.0
7.525 0.000 0.000
0.000 7.525 0.000
0.000 0.000 4.115
Er Zn Rh
2 8 4
Cartesian
0.000 0.000 0.000
3.762 3.762 2.058
0.730 2.652 2.058
1.111 4.492 0.000
2.652 0.730 2.058
3.033 6.414 0.000
4.492 1.111 0.000
4.873 6.795 2.058
6.414 3.033 0.000
6.795 4.873 2.058
1.604 5.921 2.058
2.158 2.158 0.000
5.367 5.367 0.000
5.921 1.604 2.058
```

## Properties
* electronic total energy: -55.25 eV for the cell shown
* V: 16.64 A^3/atom
* DFT formation energy: -0.47 eV/atom
* crystal system: tetragonal
* Fermi-level density of states: 5.8 states/eV per cell